Here is an optimized crystal structure of MnMoRu2 from Alexandria. Energies are from GGA-PBE.

Calculated values
Space group: Immm
Offset from the most stable computed form in meV/atom: 164
Magnetization in μB per formula unit: 2.24
ΔE_f in meV per atom: 195
Fermi-level density of states in states/eV/f.u.: 5.30
DFT total energy in eV per atom: -9.443

Unit cell a=5.2048 b=5.2048 c=5.2048 alpha=148.25 beta=130.00 gamma=60.45
Site moments in Bohr magnetons follow the coordinates.
Element x y z (fractional)
Ru1 0.9761 0.9761 0.0000  0.09
Ru2 0.5239 0.5239 0.0000  0.09
Mn1 0.7500 0.2500 0.5000  2.25
Mo1 0.2500 0.7500 0.5000  -0.23